TiNiHF2 | PBE with a Hubbard U | relaxed

```
TiNiHF2
1.0
-3.628 0.080 1.461
0.281 -3.166 0.869
1.425 1.081 3.479
H Ti F Ni
1 1 2 1
Direct
0.000 0.000 0.000 H
0.000 0.500 0.000 Ti
0.000 0.000 0.500 F
0.500 0.000 0.000 F
0.500 0.500 0.500 Ni
```

Summary:
- Total moment: 0.00 μB per cell
- Calculated total energy: -18.8 eV per cell
- V: 10.087 A^3/atom